GdNpSbAu GGA-PBE relaxed; crystal system = cubic; total magnetic moment = 1.42 μB/cell; uncorrected energy = -8.9839 eV/atom; Fermi-level density of states = 9.4 states/eV/f.u.
1.0
-2.485 4.402 1.447
-2.910 0.058 4.379
1.643 2.683 4.213
Gd Au Np Sb
1 1 1 1
Cartesian
-0.938 1.786 2.510
0.000 0.000 0.000
-2.814 5.358 7.529
-1.876 3.572 5.020